#1
5
Lattice="5.2183 0.0000 0.0000 0.0000 5.2183 0.0000 0.0000 0.0000 5.4081" Properties=species:S:1:pos:R:3 comment="BaSnAs2Se meta-GGA SCAN single point on PBEsol structure" vol_a3_per_cell=147 crystal_system=tetragonal dos_at_fermi_per_ev_atom=1.0196 pbc="T T T"
Ba 0.0000 0.0000 0.0000
Sn 2.6092 2.6092 2.7040
As 0.0000 2.6092 2.7040
As 2.6092 0.0000 2.7040
Se 2.6092 2.6092 0.0000

***

#2
5
Lattice="5.6281 0.0000 0.0000 0.0000 5.6281 0.0000 0.0000 0.0000 5.7500" Properties=species:S:1:pos:R:3 comment="BaSnAs2Se meta-GGA SCAN single point on PBEsol structure" vol_a3_per_cell=182 crystal_system=tetragonal dos_at_fermi_per_ev_atom=0.8991 pbc="T T T"
Ba 0.0000 0.0000 0.0000
Sn 2.8140 2.8140 2.8750
As 0.0000 2.8140 0.0000
As 2.8140 0.0000 0.0000
Se 0.0000 0.0000 2.8750

***

Q: Which of them is the most stable? A: #1.

***

#1
5
Lattice="5.4604 0.0000 0.0000 0.0000 5.4604 0.0000 0.0000 0.0000 5.6000" Properties=species:S:1:pos:R:3 comment="BaTaAs2Se meta-GGA SCAN single point on PBEsol structure" vol_a3_per_cell=167 crystal_system=tetragonal dos_at_fermi_per_ev_atom=0.8630 pbc="T T T"
Ba 0.0000 0.0000 0.0000
Ta 2.7302 2.7302 2.8000
As 0.0000 2.7302 0.0000
As 2.7302 0.0000 0.0000
Se 0.0000 0.0000 2.8000

***

#2
5
Lattice="5.0010 0.0000 0.0000 0.0000 5.0010 0.0000 0.0000 0.0000 5.1306" Properties=species:S:1:pos:R:3 comment="BaTaAs2Se meta-GGA SCAN single point on PBEsol structure" vol_a3_per_cell=128 crystal_system=tetragonal dos_at_fermi_per_ev_atom=0.4312 pbc="T T T"
Ba 0.0000 0.0000 0.0000
Ta 2.5005 2.5005 2.5653
As 0.0000 2.5005 2.5653
As 2.5005 0.0000 2.5653
Se 2.5005 2.5005 0.0000

***

Q: Which of them is the most stable? A: #2.

***

#1
4
Lattice="3.8310 -1.7348 0.0000 3.8310 1.7348 0.0000 -2.8520 0.0000 6.7292" Properties=species:S:1:pos:R:3 comment="BaTcAs2 meta-GGA SCAN single point on PBEsol structure" vol_a3_per_cell=89 crystal_system=monoclinic dos_at_fermi_per_ev_atom=0.3919 pbc="T T T"
Ba 0.0000 0.0000 0.0000
Tc 0.1159 0.0000 3.5720
As 2.4240 0.0000 4.4678
As 5.4317 0.0000 2.3114

***

#2
4
Lattice="3.2125 0.0000 0.0000 0.0000 3.2125 0.0000 0.0000 0.0000 7.7059" Properties=species:S:1:pos:R:3 comment="BaTcAs2 meta-GGA SCAN single point on PBEsol structure" vol_a3_per_cell=80 crystal_system=tetragonal dos_at_fermi_per_ev_atom=0.8378 pbc="T T T"
Ba 0.0000 0.0000 0.0000
Tc 0.0000 0.0000 3.8529
As 1.6063 1.6063 2.4240
As 1.6063 1.6063 5.2819

***

#3
4
Lattice="4.7816 0.0000 0.0000 0.0000 4.7816 0.0000 0.0000 0.0000 3.9107" Properties=species:S:1:pos:R:3 comment="BaTcAs2 meta-GGA SCAN single point on PBEsol structure" vol_a3_per_cell=89 crystal_system=tetragonal dos_at_fermi_per_ev_atom=0.7985 pbc="T T T"
Ba 0.0000 0.0000 0.0000
Tc 2.3908 2.3908 0.0000
As 0.0000 2.3908 1.9554
As 2.3908 0.0000 1.9554

***

Q: Which of them is the most stable? A: #1.